Ni2PbAuF | PBE+U | relaxed

```
Ni2PbAuF
1.0
4.177 0.000 0.000
0.000 4.177 0.000
0.000 0.000 5.098
Ni Pb Au F
2 1 1 1
Direct
0.000 0.500 0.000 Ni
0.500 0.000 0.000 Ni
0.000 0.000 0.500 Pb
0.500 0.500 0.500 Au
0.000 0.000 0.000 F
```

- DFT total energy (eV per atom) = -2.821
- M_tot (μB/cell) = 1.98